The following is a DFT calculation (PBE) of a relaxed structure of Pa6OsPt5.

Values from the calculation:
The energy of formation comes out at -0.702 eV per atom. As for the total energy: -8.90 eV/atom. The magnetization is 0.00 μB/cell.

Unit cell a=8.4953 b=8.4953 c=6.9422 alpha=90.00 beta=90.00 gamma=148.77
Closest atoms and distances in Å follow each position.
Atoms (fractional coordinates):
Pa (0.0000, 0.0000, 0.2418)  2 Os 2.84, 2 Pt 2.91
Pa (0.0000, 0.0000, 0.7582)  2 Os 2.84, 2 Pt 2.91
Pa (0.3475, 0.6525, 0.2476)  7 Pt 2.93-3.09, 1 Os 3.03
Pa (0.3475, 0.6525, 0.7524)  7 Pt 2.93-3.09, 1 Os 3.03
Pa (0.6525, 0.3475, 0.2476)  7 Pt 2.93-3.09, 1 Os 3.03
Pa (0.6525, 0.3475, 0.7524)  7 Pt 2.93-3.09, 1 Os 3.03
Os (0.5000, 0.5000, 0.0000)  8 Pa 2.84-3.03
Pt (0.1919, 0.8081, 0.0000)  6 Pa 2.93-3.07, 2 Pt 2.97
Pt (0.1918, 0.8082, 0.5000)  6 Pa 2.95-3.09, 2 Pt 2.98
Pt (0.5000, 0.5000, 0.5000)  8 Pa 2.91-3.05
Pt (0.8081, 0.1919, 0.0000)  6 Pa 2.93-3.07, 2 Pt 2.97
Pt (0.8082, 0.1918, 0.5000)  6 Pa 2.95-3.09, 2 Pt 2.98

The following is a DFT calculation (PBE) of a relaxed structure of Pa3OsPt.

Values from the calculation:
The energy of formation comes out at -0.354 eV per atom. As for the total energy: -9.51 eV/atom. The magnetization is 0.00 μB/cell.

Unit cell a=5.6759 b=6.4964 c=7.5174 alpha=113.57 beta=94.90 gamma=108.76
Closest atoms and distances in Å follow each position.
Atoms (fractional coordinates):
Pa (0.1344, 0.0002, 0.2259)  2 Os 2.75-2.96, 2 Pt 2.87-2.94, 1 Pa 3.08
Pa (0.1738, 0.5609, 0.6862)  1 Os 2.76, 2 Pt 2.81-3.08, 2 Pa 2.91-2.94
Pa (0.2842, 0.5667, 0.1685)  2 Os 2.75-2.76, 1 Pa 2.91, 2 Pt 3.03-3.08
Pa (0.7158, 0.4333, 0.8315)  2 Os 2.75-2.76, 1 Pa 2.91, 2 Pt 3.03-3.08
Pa (0.8262, 0.4391, 0.3138)  1 Os 2.76, 2 Pt 2.81-3.08, 2 Pa 2.91-2.94
Pa (0.8656, 0.9998, 0.7741)  2 Os 2.75-2.96, 2 Pt 2.87-2.94, 1 Pa 3.08
Os (0.4035, 0.1656, 0.9903)  5 Pa 2.75-2.96, 1 Os 2.75, 1 Pt 2.81
Os (0.5965, 0.8344, 0.0097)  5 Pa 2.75-2.96, 1 Os 2.75, 1 Pt 2.81
Pt (0.2750, 0.9355, 0.5693)  1 Os 2.81, 6 Pa 2.81-3.08, 1 Pt 2.84
Pt (0.7250, 0.0645, 0.4307)  1 Os 2.81, 6 Pa 2.81-3.08, 1 Pt 2.84

The following is a DFT calculation (PBE) of a relaxed structure of PaOs2Pt.

Values from the calculation:
The energy of formation comes out at -0.144 eV per atom. As for the total energy: -9.64 eV/atom. The magnetization is 0.00 μB/cell. Its relative energy among the computed polymorphs is 0.337 eV per atom.

Unit cell a=5.0926 b=5.0926 c=5.0926 alpha=54.49 beta=54.49 gamma=54.49
Closest atoms and distances in Å follow each position.
Atoms (fractional coordinates):
Pa (0.0000, 0.0000, 0.0000)  2 Os 2.43
Os (0.1873, 0.1873, 0.1873)  1 Pa 2.43, 3 Pt 2.71
Os (0.8127, 0.8127, 0.8127)  1 Pa 2.43, 3 Pt 2.71
Pt (0.5000, 0.5000, 0.5000)  6 Os 2.71

The following is a DFT calculation (PBE) of a relaxed structure of Pa3OsPt2.

Values from the calculation:
The energy of formation comes out at -0.728 eV per atom. As for the total energy: -9.36 eV/atom. The magnetization is 0.00 μB/cell.

Unit cell a=5.6469 b=10.6284 c=8.2608 alpha=90.00 beta=91.81 gamma=90.00
Closest atoms and distances in Å follow each position.
Atoms (fractional coordinates):
Pa (0.0454, 0.1457, 0.2620)  1 Pa 2.84, 3 Pt 2.85-2.97, 3 Os 2.88-3.08
Pa (0.0454, 0.3543, 0.7620)  1 Pa 2.84, 3 Pt 2.85-2.97, 3 Os 2.88-3.08
Pa (0.3140, 0.1630, 0.9238)  2 Pa 2.84-3.02, 2 Os 2.91-3.12, 5 Pt 2.91-3.08
Pa (0.3140, 0.3370, 0.4238)  2 Pa 2.84-3.02, 2 Os 2.91-3.12, 5 Pt 2.91-3.08
Pa (0.3597, 0.6405, 0.9286)  2 Os 2.83-2.91, 3 Pt 2.93-3.17, 1 Pa 3.02
Pa (0.3597, 0.8595, 0.4286)  2 Os 2.83-2.91, 3 Pt 2.93-3.17, 1 Pa 3.02
Pa (0.6403, 0.1405, 0.5714)  2 Os 2.83-2.91, 3 Pt 2.93-3.17, 1 Pa 3.02
Pa (0.6403, 0.3595, 0.0714)  2 Os 2.83-2.91, 3 Pt 2.93-3.17, 1 Pa 3.02
Pa (0.6860, 0.6630, 0.5762)  2 Pa 2.84-3.02, 2 Os 2.91-3.12, 5 Pt 2.91-3.08
Pa (0.6860, 0.8370, 0.0762)  2 Pa 2.84-3.02, 2 Os 2.91-3.12, 5 Pt 2.91-3.08
Pa (0.9546, 0.6457, 0.2380)  1 Pa 2.84, 3 Pt 2.85-2.97, 3 Os 2.88-3.08
Pa (0.9546, 0.8543, 0.7380)  1 Pa 2.84, 3 Pt 2.85-2.97, 3 Os 2.88-3.08
Os (0.1347, 0.0977, 0.6010)  7 Pa 2.83-3.12, 1 Pt 2.98, 1 Os 3.04
Os (0.1347, 0.4023, 0.1010)  7 Pa 2.83-3.12, 1 Pt 2.98, 1 Os 3.04
Os (0.8653, 0.5977, 0.8990)  7 Pa 2.83-3.12, 1 Pt 2.98, 1 Os 3.04
Os (0.8653, 0.9023, 0.3990)  7 Pa 2.83-3.12, 1 Pt 2.98, 1 Os 3.04
Pt (0.1833, 0.5866, 0.5877)  6 Pa 2.92-3.19, 3 Pt 3.00-3.10, 1 Os 3.18
Pt (0.1833, 0.9134, 0.0877)  6 Pa 2.92-3.19, 3 Pt 3.00-3.10, 1 Os 3.18
Pt (0.4456, 0.5883, 0.2742)  6 Pa 2.85-3.17, 1 Os 2.98, 2 Pt 3.00-3.02
Pt (0.4456, 0.9117, 0.7742)  6 Pa 2.85-3.17, 1 Os 2.98, 2 Pt 3.00-3.02
Pt (0.5544, 0.0883, 0.2258)  6 Pa 2.85-3.17, 1 Os 2.98, 2 Pt 3.00-3.02
Pt (0.5544, 0.4117, 0.7258)  6 Pa 2.85-3.17, 1 Os 2.98, 2 Pt 3.00-3.02
Pt (0.8167, 0.0866, 0.9123)  6 Pa 2.92-3.19, 3 Pt 3.00-3.10, 1 Os 3.18
Pt (0.8167, 0.4134, 0.4123)  6 Pa 2.92-3.19, 3 Pt 3.00-3.10, 1 Os 3.18

The following is a DFT calculation (PBE) of a relaxed structure of Pa4OsPt.

Values from the calculation:
The energy of formation comes out at -0.168 eV per atom. As for the total energy: -9.38 eV/atom. The magnetization is 0.00 μB/cell.

Unit cell a=8.3365 b=8.3365 c=7.3758 alpha=112.82 beta=112.82 gamma=40.09
Closest atoms and distances in Å follow each position.
Atoms (fractional coordinates):
Pa (0.0265, 0.8362, 0.5471)  3 Pa 2.74-3.04, 1 Pt 2.86, 1 Os 3.07
Pa (0.1638, 0.9735, 0.9529)  3 Pa 2.74-3.04, 1 Pt 2.86, 1 Os 3.07
Pa (0.2826, 0.4395, 0.8812)  2 Os 2.70-2.95, 2 Pt 2.80-2.93
Pa (0.4395, 0.2826, 0.3812)  2 Os 2.70-2.95, 2 Pt 2.80-2.93
Pa (0.5605, 0.7174, 0.6188)  2 Os 2.70-2.95, 2 Pt 2.80-2.93
Pa (0.7174, 0.5605, 0.1188)  2 Os 2.70-2.95, 2 Pt 2.80-2.93
Pa (0.8362, 0.0265, 0.0471)  3 Pa 2.74-3.04, 1 Pt 2.86, 1 Os 3.07
Pa (0.9735, 0.1638, 0.4529)  3 Pa 2.74-3.04, 1 Pt 2.86, 1 Os 3.07
Os (0.3795, 0.6205, 0.2500)  4 Pa 2.70-2.95
Os (0.6205, 0.3795, 0.7500)  4 Pa 2.70-2.95
Pt (0.0000, 0.5000, 0.5000)  6 Pa 2.80-2.93
Pt (0.5000, 0.0000, 0.0000)  6 Pa 2.80-2.93

The following is a DFT calculation (PBE) of a relaxed structure of Pu3Pa3OsPt2.

Values from the calculation:
The energy of formation comes out at -0.392 eV per atom. As for the total energy: -10.92 eV/atom. The magnetization is 19.51 μB/cell.

Unit cell a=7.8229 b=7.8229 c=3.9742 alpha=90.00 beta=90.00 gamma=120.00
Closest atoms and distances in Å follow each position.
Atoms (fractional coordinates):
Pu (0.0000, 0.4071, 0.0000)  4 Pt 3.09, 1 Os 3.18, 6 Pa 3.26-3.43
Pu (0.4071, 0.0000, 0.0000)  4 Pt 3.09, 1 Os 3.18, 6 Pa 3.26-3.43
Pu (0.5929, 0.5929, 0.0000)  4 Pt 3.09, 1 Os 3.18, 6 Pa 3.26-3.43
Pa (0.0000, 0.7368, 0.5000)  2 Os 2.86, 2 Pt 2.92
Pa (0.2632, 0.2632, 0.5000)  2 Os 2.86, 2 Pt 2.92
Pa (0.7368, 0.0000, 0.5000)  2 Os 2.86, 2 Pt 2.92
Os (0.0000, 0.0000, 0.0000)  6 Pa 2.86, 3 Pu 3.18
Pt (0.3333, 0.6667, 0.5000)  3 Pa 2.92, 6 Pu 3.09
Pt (0.6667, 0.3333, 0.5000)  3 Pa 2.92, 6 Pu 3.09

The following is a DFT calculation (PBE) of a relaxed structure of ScPaOsPt.

Values from the calculation:
The energy of formation comes out at -0.608 eV per atom. As for the total energy: -8.88 eV/atom. The magnetization is 0.00 μB/cell.

Unit cell a=4.7944 b=4.7944 c=4.7944 alpha=60.00 beta=60.00 gamma=60.00
Closest atoms and distances in Å follow each position.
Atoms (fractional coordinates):
Sc (0.0000, 0.0000, 0.0000)  4 Pt 2.94, 4 Os 2.94
Pa (0.5000, 0.5000, 0.5000)  4 Os 2.94, 4 Pt 2.94
Os (0.7500, 0.7500, 0.7500)  4 Pa 2.94, 4 Sc 2.94
Pt (0.2500, 0.2500, 0.2500)  4 Pa 2.94, 4 Sc 2.94

The following is a DFT calculation (PBE) of a relaxed structure of Pa2Si4Os3Pt.

Values from the calculation:
As for the total energy: -8.75 eV/atom. The uncorrected formation energy is -0.705 eV per atom. The magnetization is 0.00 μB/cell.

Unit cell a=4.1164 b=4.1164 c=9.9967 alpha=90.00 beta=90.00 gamma=90.00
Closest atoms and distances in Å follow each position.
Atoms (fractional coordinates):
Pa (0.0000, 0.5000, 0.2413)  6 Os 3.11-3.31, 8 Si 3.17, 2 Pt 3.31
Pa (0.5000, 0.0000, 0.7587)  6 Os 3.11-3.31, 8 Si 3.17, 2 Pt 3.31
Si (0.0000, 0.0000, 0.0000)  4 Os 2.44
Si (0.0000, 0.5000, 0.6330)  3 Os 2.36-2.45, 2 Pt 2.45
Si (0.5000, 0.0000, 0.3670)  3 Os 2.36-2.45, 2 Pt 2.45
Si (0.5000, 0.5000, 0.0000)  4 Os 2.44
Os (0.0000, 0.5000, 0.8690)  5 Si 2.36-2.44
Os (0.5000, 0.0000, 0.1310)  5 Si 2.36-2.44
Os (0.5000, 0.5000, 0.5000)  4 Si 2.45
Pt (0.0000, 0.0000, 0.5000)  4 Si 2.45

The following is a DFT calculation (PBE) of a relaxed structure of SmPaOsPt.

Values from the calculation:
The energy of formation comes out at -0.464 eV per atom. As for the total energy: -8.34 eV/atom. The magnetization is 0.00 μB/cell.

Unit cell a=4.9447 b=4.9447 c=4.9447 alpha=60.00 beta=60.00 gamma=60.00
Closest atoms and distances in Å follow each position.
Atoms (fractional coordinates):
Sm (0.0000, 0.0000, 0.0000)  4 Os 3.03, 4 Pt 3.03
Pa (0.5000, 0.5000, 0.5000)  4 Os 3.03, 4 Pt 3.03
Os (0.2500, 0.2500, 0.2500)  4 Pa 3.03, 4 Sm 3.03
Pt (0.7500, 0.7500, 0.7500)  4 Pa 3.03, 4 Sm 3.03

The following is a DFT calculation (PBE) of a relaxed structure of TbPaOsPt.

Values from the calculation:
The energy of formation comes out at -0.538 eV per atom. As for the total energy: -8.39 eV/atom. The magnetization is 0.00 μB/cell.

Unit cell a=4.9127 b=4.9127 c=4.9127 alpha=60.00 beta=60.00 gamma=60.00
Closest atoms and distances in Å follow each position.
Atoms (fractional coordinates):
Tb (0.0000, 0.0000, 0.0000)  4 Os 3.01, 4 Pt 3.01
Pa (0.5000, 0.5000, 0.5000)  4 Os 3.01, 4 Pt 3.01
Os (0.2500, 0.2500, 0.2500)  4 Pa 3.01, 4 Tb 3.01
Pt (0.7500, 0.7500, 0.7500)  4 Pa 3.01, 4 Tb 3.01

The following is a DFT calculation (PBE) of a relaxed structure of TmPaOsPt.

Values from the calculation:
The energy of formation comes out at -0.598 eV per atom. As for the total energy: -8.41 eV/atom. The magnetization is 0.00 μB/cell.

Unit cell a=4.8821 b=4.8821 c=4.8821 alpha=60.00 beta=60.00 gamma=60.00
Closest atoms and distances in Å follow each position.
Atoms (fractional coordinates):
Tm (0.0000, 0.0000, 0.0000)  4 Pt 2.99, 4 Os 2.99
Pa (0.5000, 0.5000, 0.5000)  4 Os 2.99, 4 Pt 2.99
Os (0.7500, 0.7500, 0.7500)  4 Pa 2.99, 4 Tm 2.99
Pt (0.2500, 0.2500, 0.2500)  4 Pa 2.99, 4 Tm 2.99

The following is a DFT calculation (PBE) of a relaxed structure of UPaOsPt.

Values from the calculation:
The energy of formation comes out at -0.449 eV per atom. As for the total energy: -9.96 eV/atom. The magnetization is 1.11 μB/cell.

Unit cell a=4.7158 b=4.7158 c=4.7158 alpha=60.00 beta=60.00 gamma=60.00
Closest atoms and distances in Å follow each position.
Atoms (fractional coordinates):
U (0.0000, 0.0000, 0.0000)  4 Pa 2.89, 4 Pt 2.89
Pa (0.7500, 0.7500, 0.7500)  4 U 2.89, 4 Os 2.89
Os (0.5000, 0.5000, 0.5000)  4 Pa 2.89, 4 Pt 2.89
Pt (0.2500, 0.2500, 0.2500)  4 U 2.89, 4 Os 2.89